No. 1
Density functional theory data (GGA-PBE) for Nd3Tm2Hg2 after structural relaxation.

Summary:
* energy above the lowest structure with this stoichiometry: 0.0000 eV/atom
* DFT total energy: -25.428 eV per formula unit
* mass density: 9.5 g cm⁻³
* formation enthalpy at 0 K: -1.578 eV per formula unit

Cell: 5.444 5.435 8.610 Å, 108.44 90.00 120.05°
Sites, in units of the cell vectors:
Hg1 0.211 0.422 0.133
Hg2 0.789 0.578 0.867
Tm1 0.927 0.853 0.279
Tm2 0.073 0.147 0.721
Nd1 0.340 0.681 0.522
Nd2 0.660 0.319 0.478
Nd3 0.500 0.000 0.000

No. 2
Density functional theory data (GGA-PBE) for NdTm7Hg4 after structural relaxation.

Summary:
* DFT total energy: -38.345 eV per formula unit
* mass density: 10.6 g cm⁻³
* formation enthalpy at 0 K: -1.070 eV per formula unit

Cell: 5.641 8.881 7.777 Å, 70.19 68.73 71.48°
Sites, in units of the cell vectors:
Hg1 0.689 0.663 0.958
Hg2 0.547 0.275 0.632
Hg3 0.453 0.725 0.368
Hg4 0.311 0.337 0.042
Tm1 0.731 0.318 0.220
Tm2 0.792 0.882 0.533
Tm3 0.500 0.000 0.000
Tm4 0.208 0.118 0.467
Tm5 0.269 0.682 0.780
Tm6 0.067 0.593 0.272
Tm7 0.933 0.407 0.728
Nd1 0.000 0.000 0.000

No. 3
Density functional theory data (GGA-PBE) for NdTm2Hg6 after structural relaxation.

Summary:
* energy above the lowest structure with this stoichiometry: 0.2283 eV/atom
* DFT total energy: -16.929 eV per formula unit
* mass density: 10.7 g cm⁻³
* formation enthalpy at 0 K: -1.407 eV per formula unit

Cell: 4.500 4.500 13.289 Å, 99.75 99.75 90.00°
Sites, in units of the cell vectors:
Hg1 0.589 0.089 0.177
Hg2 0.750 0.250 0.500
Hg3 0.089 0.589 0.177
Hg4 0.411 0.911 0.823
Hg5 0.250 0.750 0.500
Hg6 0.911 0.411 0.823
Tm1 0.669 0.669 0.338
Tm2 0.331 0.331 0.662
Nd1 0.000 0.000 0.000

No. 4
Density functional theory data (GGA-PBE) for Nd2TmHg4 after structural relaxation.

Summary:
* energy above the lowest structure with this stoichiometry: 0.0000 eV/atom
* DFT total energy: -17.640 eV per formula unit
* mass density: 10.2 g cm⁻³
* formation enthalpy at 0 K: -2.425 eV per formula unit

Cell: 5.134 5.134 9.470 Å, 74.27 74.27 60.00°
Sites, in units of the cell vectors:
Tm1 0.000 0.000 0.000
Hg1 0.370 0.370 0.891
Hg2 0.873 0.873 0.381
Hg3 0.127 0.127 0.619
Hg4 0.630 0.630 0.109
Nd1 0.244 0.244 0.267
Nd2 0.756 0.756 0.733

No. 5
Density functional theory data (GGA-PBE) for Nd3Tm2Hg7 after structural relaxation.

Summary:
* DFT total energy: -29.279 eV per formula unit
* mass density: 10.9 g cm⁻³
* formation enthalpy at 0 K: -3.920 eV per formula unit

Cell: 5.593 5.184 11.768 Å, 102.72 90.00 90.00°
Sites, in units of the cell vectors:
Tm1 0.000 0.142 0.284
Tm2 0.000 0.858 0.716
Hg1 0.500 0.911 0.822
Hg2 0.500 0.089 0.178
Hg3 0.000 0.424 0.847
Hg4 0.000 0.724 0.449
Hg5 0.000 0.276 0.551
Hg6 0.000 0.000 0.000
Hg7 0.000 0.576 0.153
Nd1 0.500 0.500 0.000
Nd2 0.500 0.329 0.657
Nd3 0.500 0.671 0.343

No. 6
Density functional theory data (GGA-PBE) for Nd2TmHg after structural relaxation.

Summary:
* energy above the lowest structure with this stoichiometry: 0.3116 eV/atom
* DFT total energy: -13.971 eV per formula unit
* mass density: 8.2 g cm⁻³
* formation enthalpy at 0 K: 0.338 eV per formula unit

Cell: 3.542 3.542 12.428 Å, 81.81 81.81 60.00°
Sites, in units of the cell vectors:
Tm1 0.500 0.500 0.500
Nd1 0.089 0.089 0.733
Nd2 0.911 0.911 0.267
Hg1 0.000 0.000 0.000

No. 7
Density functional theory data (GGA-PBE) for NdTm2Hg2 after structural relaxation.

Summary:
* energy above the lowest structure with this stoichiometry: 0.0000 eV/atom
* DFT total energy: -16.199 eV per formula unit
* mass density: 10.8 g cm⁻³
* formation enthalpy at 0 K: -1.884 eV per formula unit

Cell: 3.708 5.354 13.830 Å, 90.00 97.69 90.00°
Sites, in units of the cell vectors:
Nd1 0.852 0.750 0.707
Nd2 0.148 0.250 0.293
Hg1 0.645 0.750 0.289
Hg2 0.456 0.750 0.912
Hg3 0.544 0.250 0.088
Hg4 0.355 0.250 0.711
Tm1 0.951 0.250 0.904
Tm2 0.049 0.750 0.096
Tm3 0.236 0.750 0.473
Tm4 0.764 0.250 0.527

No. 8
Density functional theory data (GGA-PBE) for NdTmHg4 after structural relaxation.

Summary:
* energy above the lowest structure with this stoichiometry: 0.0000 eV/atom
* DFT total energy: -12.492 eV per formula unit
* mass density: 12.0 g cm⁻³
* formation enthalpy at 0 K: -2.046 eV per formula unit

Cell: 3.875 5.637 8.113 Å, 101.27 76.18 69.90°
Sites, in units of the cell vectors:
Hg1 0.177 0.491 0.156
Hg2 0.653 0.013 0.680
Hg3 0.823 0.509 0.844
Hg4 0.347 0.987 0.320
Nd1 0.500 0.500 0.500
Tm1 0.000 0.000 0.000

No. 9
Density functional theory data (GGA-PBE) for Nd2TmHg4 after structural relaxation.

Summary:
* energy above the lowest structure with this stoichiometry: 0.2951 eV/atom
* DFT total energy: -15.574 eV per formula unit
* mass density: 8.6 g cm⁻³
* formation enthalpy at 0 K: -0.360 eV per formula unit

Cell: 5.586 5.586 8.760 Å, 108.59 108.59 90.00°
Sites, in units of the cell vectors:
Hg1 0.500 0.000 0.000
Hg2 0.809 0.809 0.619
Hg3 0.191 0.191 0.381
Hg4 0.000 0.500 0.000
Nd1 0.608 0.608 0.217
Nd2 0.392 0.392 0.783
Tm1 0.000 0.000 0.000

No. 10
Density functional theory data (GGA-PBE) for Nd4TmHg after structural relaxation.

Summary:
* energy above the lowest structure with this stoichiometry: 0.0950 eV/atom
* DFT total energy: -24.137 eV per formula unit
* mass density: 8.0 g cm⁻³
* formation enthalpy at 0 K: -0.292 eV per formula unit

Cell: 6.480 9.178 8.413 Å, 113.46 100.16 112.50°
Sites, in units of the cell vectors:
Nd1 0.774 0.399 0.227
Nd2 0.240 0.289 0.379
Nd3 0.760 0.711 0.621
Nd4 0.639 0.090 0.379
Nd5 0.361 0.910 0.621
Nd6 0.047 0.172 0.773
Nd7 0.953 0.828 0.227
Nd8 0.226 0.601 0.773
Hg1 0.748 0.998 0.997
Hg2 0.252 0.002 0.003
Tm1 0.657 0.407 0.814
Tm2 0.343 0.593 0.186

No. 11
Density functional theory data (GGA-PBE) for Nd3TmHg6 after structural relaxation.

Summary:
* DFT total energy: -24.830 eV per formula unit
* mass density: 11.3 g cm⁻³
* formation enthalpy at 0 K: -4.244 eV per formula unit

Cell: 5.207 9.399 11.309 Å, 106.76 90.00 90.00°
Sites, in units of the cell vectors:
Hg1 0.750 0.942 0.122
Hg2 0.750 0.853 0.820
Hg3 0.750 0.143 0.691
Hg4 0.250 0.058 0.878
Hg5 0.750 0.769 0.507
Hg6 0.750 0.533 0.916
Hg7 0.750 0.329 0.303
Hg8 0.250 0.231 0.493
Hg9 0.250 0.671 0.697
Hg10 0.250 0.467 0.084
Hg11 0.250 0.857 0.309
Hg12 0.250 0.147 0.180
Nd1 0.750 0.648 0.215
Nd2 0.250 0.352 0.785
Nd3 0.750 0.488 0.615
Nd4 0.250 0.512 0.385
Nd5 0.750 0.225 0.009
Nd6 0.250 0.775 0.991
Tm1 0.250 0.942 0.598
Tm2 0.750 0.058 0.402

No. 12
Density functional theory data (GGA-PBE) for NdTmHg3 after structural relaxation.

Summary:
* energy above the lowest structure with this stoichiometry: 0.0000 eV/atom
* DFT total energy: -12.255 eV per formula unit
* mass density: 11.8 g cm⁻³
* formation enthalpy at 0 K: -2.110 eV per formula unit

Cell: 3.584 4.949 14.674 Å, 90.00 97.02 90.00°
Each line ends with the local moment (μB).
Sites, in units of the cell vectors:
Nd1 0.923 0.750 0.847  0.08
Nd2 0.077 0.250 0.153  0.08
Hg1 0.624 0.750 0.248  0.01
Hg2 0.475 0.250 0.951  0.01
Hg3 0.684 0.250 0.369  0.00
Hg4 0.376 0.250 0.752  0.01
Hg5 0.316 0.750 0.631  0.00
Hg6 0.525 0.750 0.049  0.01
Tm1 0.211 0.750 0.422  0.02
Tm2 0.789 0.250 0.578  0.02

No. 13
Density functional theory data (GGA-PBE) for NdTm2Hg after structural relaxation.

Summary:
* energy above the lowest structure with this stoichiometry: 0.0649 eV/atom
* DFT total energy: -14.701 eV per formula unit
* mass density: 9.6 g cm⁻³
* formation enthalpy at 0 K: -0.688 eV per formula unit

Cell: 3.602 3.602 10.730 Å, 80.34 80.34 60.00°
Sites, in units of the cell vectors:
Hg1 0.000 0.000 0.000
Nd1 0.500 0.500 0.500
Tm1 0.259 0.259 0.224
Tm2 0.741 0.741 0.776

No. 14
Density functional theory data (GGA-PBE) for Nd3TmHg4 after structural relaxation.

Summary:
* energy above the lowest structure with this stoichiometry: 0.1427 eV/atom
* DFT total energy: -22.601 eV per formula unit
* mass density: 9.7 g cm⁻³
* formation enthalpy at 0 K: -2.619 eV per formula unit

Cell: 3.855 7.650 9.207 Å, 114.53 102.08 90.00°
Sites, in units of the cell vectors:
Hg1 0.628 0.422 0.256
Hg2 0.372 0.166 0.744
Hg3 0.628 0.834 0.256
Hg4 0.372 0.578 0.744
Nd1 0.000 0.500 0.000
Nd2 0.798 0.798 0.596
Nd3 0.202 0.202 0.404
Tm1 0.500 0.000 0.000

No. 15
Density functional theory data (GGA-PBE) for NdTm4Hg after structural relaxation.

Summary:
* energy above the lowest structure with this stoichiometry: 0.0000 eV/atom
* DFT total energy: -23.786 eV per formula unit
* mass density: 9.6 g cm⁻³
* formation enthalpy at 0 K: -0.830 eV per formula unit

Cell: 3.552 3.552 13.949 Å, 90.00 90.00 90.00°
Sites, in units of the cell vectors:
Tm1 0.500 0.500 0.181
Tm2 0.000 0.000 0.358
Tm3 0.500 0.500 0.819
Tm4 0.000 0.000 0.642
Nd1 0.000 0.000 0.000
Hg1 0.500 0.500 0.500

No. 16
Density functional theory data (GGA-PBE) for Nd2TmHg2 after structural relaxation.

Summary:
* energy above the lowest structure with this stoichiometry: 0.0651 eV/atom
* DFT total energy: -16.088 eV per formula unit
* mass density: 9.6 g cm⁻³
* formation enthalpy at 0 K: -1.477 eV per formula unit

Cell: 4.054 6.543 6.543 Å, 67.61 71.95 71.95°
Sites, in units of the cell vectors:
Tm1 0.000 0.000 0.000
Hg1 0.500 0.294 0.706
Hg2 0.500 0.706 0.294
Nd1 0.790 0.710 0.710
Nd2 0.210 0.290 0.290

No. 17
Density functional theory data (GGA-PBE) for NdTm2Hg9 after structural relaxation.

Summary:
* DFT total energy: -20.037 eV per formula unit
* mass density: 12.8 g cm⁻³
* formation enthalpy at 0 K: -3.610 eV per formula unit

Cell: 4.522 4.522 14.472 Å, 90.00 90.00 90.00°
Sites, in units of the cell vectors:
Hg1 0.000 0.500 0.172
Hg2 0.500 0.000 0.500
Hg3 0.500 0.000 0.172
Hg4 0.500 0.500 0.664
Hg5 0.000 0.500 0.500
Hg6 0.500 0.000 0.828
Hg7 0.500 0.500 0.336
Hg8 0.000 0.500 0.828
Hg9 0.500 0.500 0.000
Nd1 0.000 0.000 0.000
Tm1 0.000 0.000 0.337
Tm2 0.000 0.000 0.663

No. 18
Density functional theory data (GGA-PBE) for NdTm6Hg2 after structural relaxation.

Summary:
* DFT total energy: -33.957 eV per formula unit
* mass density: 10.1 g cm⁻³
* formation enthalpy at 0 K: -1.757 eV per formula unit

Cell: 3.682 6.531 11.598 Å, 75.12 80.87 73.62°
Sites, in units of the cell vectors:
Tm1 0.687 0.208 0.418
Tm2 0.986 0.687 0.341
Tm3 0.312 0.501 0.875
Tm4 0.014 0.313 0.659
Tm5 0.313 0.792 0.582
Tm6 0.688 0.499 0.125
Hg1 0.651 0.918 0.780
Hg2 0.349 0.082 0.220
Nd1 0.000 0.000 0.000

No. 19
Density functional theory data (GGA-PBE) for Nd4TmHg2 after structural relaxation.

Summary:
* DFT total energy: -25.506 eV per formula unit
* mass density: 8.9 g cm⁻³
* formation enthalpy at 0 K: -1.360 eV per formula unit

Cell: 8.493 9.026 9.441 Å, 138.47 117.20 71.60°
Sites, in units of the cell vectors:
Hg1 0.225 0.356 0.947
Hg2 0.660 0.584 0.471
Hg3 0.548 0.254 0.773
Hg4 0.719 0.194 0.445
Nd1 0.673 0.078 0.006
Nd2 0.125 0.169 0.453
Nd3 0.902 0.022 0.686
Nd4 0.422 0.571 0.687
Nd5 0.285 0.797 0.497
Nd6 0.493 0.770 0.212
Nd7 0.865 0.661 0.070
Nd8 0.043 0.705 0.845
Tm1 0.315 0.132 0.111
Tm2 0.974 0.458 0.296

No. 20
Density functional theory data (GGA-PBE) for Nd4TmHg4 after structural relaxation.

Summary:
* DFT total energy: -27.105 eV per formula unit
* mass density: 9.7 g cm⁻³
* formation enthalpy at 0 K: -2.355 eV per formula unit

Cell: 5.751 9.583 9.583 Å, 90.00 90.00 90.00°
Sites, in units of the cell vectors:
Nd1 0.612 0.159 0.413
Nd2 0.888 0.341 0.087
Nd3 0.112 0.087 0.659
Nd4 0.612 0.841 0.587
Nd5 0.888 0.659 0.913
Nd6 0.388 0.587 0.159
Nd7 0.388 0.413 0.841
Nd8 0.112 0.913 0.341
Hg1 0.883 0.398 0.696
Hg2 0.383 0.804 0.898
Hg3 0.883 0.602 0.304
Hg4 0.117 0.696 0.602
Hg5 0.617 0.102 0.804
Hg6 0.617 0.898 0.196
Hg7 0.383 0.196 0.102
Hg8 0.117 0.304 0.398
Tm1 0.500 0.500 0.500
Tm2 0.000 0.000 0.000

No. 21
Density functional theory data (GGA-PBE) for Nd2VHg after structural relaxation.

Summary:
* DFT total energy: -16.869 eV per formula unit
* mass density: 8.1 g cm⁻³
* formation enthalpy at 0 K: 2.087 eV per formula unit

Cell: 3.396 3.396 11.280 Å, 81.34 81.34 60.00°
Each line ends with the local moment (μB).
Sites, in units of the cell vectors:
Hg1 0.500 0.500 0.500  0.02
Nd1 0.914 0.914 0.258  0.03
Nd2 0.086 0.086 0.742  0.03
V1 0.000 0.000 0.000  2.65

No. 22
Density functional theory data (GGA-PBE) for Nd2Y3Hg3 after structural relaxation.

Summary:
* DFT total energy: -32.779 eV per formula unit
* mass density: 8.5 g cm⁻³
* formation enthalpy at 0 K: -2.946 eV per formula unit

Cell: 3.781 5.319 11.732 Å, 103.10 99.27 90.00°
Sites, in units of the cell vectors:
Hg1 0.114 0.114 0.227
Hg2 0.886 0.886 0.773
Hg3 0.000 0.500 0.000
Y1 0.618 0.618 0.236
Y2 0.382 0.382 0.764
Y3 0.500 0.000 0.000
Nd1 0.730 0.230 0.460
Nd2 0.270 0.770 0.540

No. 23
Density functional theory data (GGA-PBE) for NdYHg4 after structural relaxation.

Summary:
* energy above the lowest structure with this stoichiometry: 0.1731 eV/atom
* DFT total energy: -13.537 eV per formula unit
* mass density: 9.6 g cm⁻³
* formation enthalpy at 0 K: -1.098 eV per formula unit

Cell: 4.552 4.566 8.661 Å, 89.99 90.00 90.00°
Sites, in units of the cell vectors:
Hg1 0.001 0.497 0.257
Hg2 0.001 0.497 0.739
Hg3 0.501 0.997 0.740
Hg4 0.501 0.997 0.256
Y1 0.001 0.997 0.498
Nd1 0.501 0.497 0.998